# AcPr2Ni9, relaxed, DFT PBE
# SG   No. 166
# Density of states at the Fermi level   15.54 states/eV/f.u.
# Magnetization   0.016 μB per atom
# Energy relative to the elements   -0.263 eV per atom
data_AcPr2Ni9
_space_group_name_H-M_alt 'P 1'
_space_group_IT_number 1
_space_group_name_Hall 'P 1'
_cell_length_a 5.116
_cell_length_b 5.116
_cell_length_c 8.814
_cell_angle_alpha 73.13
_cell_angle_beta 73.13
_cell_angle_gamma 60.00
loop_
_atom_site_label
_atom_site_fract_x
_atom_site_fract_y
_atom_site_fract_z
Pr1 0.860 0.860 0.419
Pr2 0.140 0.140 0.581
Ni1 0.332 0.332 0.004
Ni2 0.917 0.419 0.245
Ni3 0.419 0.917 0.245
Ni4 0.668 0.668 0.996
Ni5 0.500 0.500 0.500
Ni6 0.581 0.581 0.755
Ni7 0.083 0.581 0.755
Ni8 0.581 0.083 0.755
Ni9 0.419 0.419 0.245
Ac1 0.000 0.000 0.000

# Er2UPaP4, relaxed, DFT PBE
# SG   No. 10
# Density of states at the Fermi level   10.60 states/eV/f.u.
# Magnetization   0.332 μB per atom
# Energy relative to the elements   -1.365 eV per atom
data_Er2UPaP4
_space_group_name_H-M_alt 'P 1'
_space_group_IT_number 1
_space_group_name_Hall 'P 1'
_cell_length_a 3.951
_cell_length_b 6.843
_cell_length_c 6.879
_cell_angle_alpha 109.37
_cell_angle_beta 90.00
_cell_angle_gamma 90.00
loop_
_atom_site_label
_atom_site_fract_x
_atom_site_fract_y
_atom_site_fract_z
P1 0.500 0.249 0.248
P2 0.000 0.250 0.751
P3 0.000 0.750 0.249
P4 0.500 0.751 0.752
Er1 0.000 0.500 0.500
Er2 0.500 0.000 0.500
U1 0.000 0.000 0.000
Pa1 0.500 0.500 0.000

# AcYNi2H8, relaxed, DFT PBE
# SG   No. 166
# Density of states at the Fermi level   5.91 states/eV/f.u.
# Magnetization   0.000 μB per atom
# DFT total energy   -52.54 eV for the cell shown
data_AcYNi2H8
_space_group_name_H-M_alt 'P 1'
_space_group_IT_number 1
_space_group_name_Hall 'P 1'
_cell_length_a 4.492
_cell_length_b 4.492
_cell_length_c 7.447
_cell_angle_alpha 72.45
_cell_angle_beta 72.45
_cell_angle_gamma 60.00
loop_
_atom_site_label
_atom_site_fract_x
_atom_site_fract_y
_atom_site_fract_z
Ni1 0.747 0.747 0.759
Ni2 0.253 0.253 0.241
H1 0.823 0.823 0.530
H2 0.534 0.089 0.843
H3 0.089 0.534 0.843
H4 0.911 0.466 0.157
H5 0.466 0.466 0.157
H6 0.534 0.534 0.843
H7 0.466 0.911 0.157
H8 0.177 0.177 0.470
Y1 0.000 0.000 0.000
Ac1 0.500 0.500 0.500

# CuSn2BiPb, relaxed, DFT PBE
# SG   No. 123
# Density of states at the Fermi level   2.39 states/eV/f.u.
# Magnetization   0.000 μB per atom
# Energy relative to the elements   0.189 eV per atom
data_CuSn2BiPb
_space_group_name_H-M_alt 'P 1'
_space_group_IT_number 1
_space_group_name_Hall 'P 1'
_cell_length_a 5.112
_cell_length_b 5.112
_cell_length_c 5.427
_cell_angle_alpha 90.00
_cell_angle_beta 90.00
_cell_angle_gamma 90.00
loop_
_atom_site_label
_atom_site_fract_x
_atom_site_fract_y
_atom_site_fract_z
Sn1 0.000 0.500 0.000
Sn2 0.500 0.000 0.000
Bi1 0.500 0.500 0.500
Cu1 0.000 0.000 0.000
Pb1 0.000 0.000 0.500